! PBE with a Hubbard U K2CoSO6, optimized geometry; values from VASP
&SYSTEM
  ibrav = 0, nat = 10, ntyp = 4
/
ATOMIC_SPECIES
K 39.10 K.upf
Co 58.93 Co.upf
S 32.06 S.upf
O 16.00 O.upf
CELL_PARAMETERS angstrom
4.821 0.000 0.000
0.000 5.876 0.000
0.000 -2.938 5.089
ATOMIC_POSITIONS angstrom
K 1.052 0.000 3.392
K 3.769 2.938 1.696
Co 2.410 0.000 0.000
S 0.000 0.000 0.000
O 3.793 0.000 1.326
O 3.793 -1.790 4.426
O 3.793 1.790 4.426
O 1.027 4.728 0.663
O 1.027 1.148 0.663
O 1.027 2.938 3.763
! electronic total energy = -5.2645 eV/atom